# Zr2PRu (PBE, optimized geometry)
# - E: -8.47 eV per atom
# - Spin magnetization: 0.00 μB/f.u.
# - Mass density: 7.5 g/cm³
# - Volume: 17.48 Å³/atom
# - N(E_F): 0.910 states/eV/atom
data_Zr2PRu
_symmetry_space_group_name_H-M 'P 1'
_symmetry_Int_Tables_number 1
_cell_length_a 8.674
_cell_length_b 4.049
_cell_length_c 4.625
_cell_angle_alpha 90.00
_cell_angle_beta 120.56
_cell_angle_gamma 90.00
loop_
_symmetry_equiv_pos_as_xyz
'x,y,z'
loop_
_atom_site_label
_atom_site_type_symbol
_atom_site_fract_x
_atom_site_fract_y
_atom_site_fract_z
Zr1 Zr 0.248 0.000 0.249
Zr2 Zr 0.252 0.500 0.751
Zr3 Zr 0.748 0.500 0.249
Zr4 Zr 0.752 0.000 0.751
P1 P 0.000 0.000 0.500
P2 P 0.500 0.500 0.500
Ru1 Ru 0.000 0.500 0.000
Ru2 Ru 0.500 0.000 0.000


# EuInNiRh (PBE, optimized geometry)
# - E: -6.76 eV per atom
# - Spin magnetization: 6.74 μB/f.u.
# - Mass density: 9.4 g/cm³
# - Volume: 18.84 Å³/atom
# - N(E_F): 2.825 states/eV/atom
data_EuInNiRh
_symmetry_space_group_name_H-M 'P 1'
_symmetry_Int_Tables_number 1
_cell_length_a 6.705
_cell_length_b 6.705
_cell_length_c 6.705
_cell_angle_alpha 90.00
_cell_angle_beta 90.00
_cell_angle_gamma 90.00
loop_
_symmetry_equiv_pos_as_xyz
'x,y,z'
loop_
_atom_site_label
_atom_site_type_symbol
_atom_site_fract_x
_atom_site_fract_y
_atom_site_fract_z
Eu1 Eu 0.000 0.000 0.000
Eu2 Eu 0.000 0.500 0.500
Eu3 Eu 0.500 0.000 0.500
Eu4 Eu 0.500 0.500 0.000
In1 In 0.000 0.000 0.500
In2 In 0.000 0.500 0.000
In3 In 0.500 0.000 0.000
In4 In 0.500 0.500 0.500
Ni1 Ni 0.250 0.250 0.250
Ni2 Ni 0.250 0.750 0.750
Ni3 Ni 0.750 0.250 0.750
Ni4 Ni 0.750 0.750 0.250
Rh1 Rh 0.250 0.250 0.750
Rh2 Rh 0.250 0.750 0.250
Rh3 Rh 0.750 0.250 0.250
Rh4 Rh 0.750 0.750 0.750


# Ce3InC (PBE, optimized geometry)
# - E: -6.28 eV per atom
# - Spin magnetization: 1.94 μB/f.u.
# - Mass density: 7.3 g/cm³
# - Volume: 24.86 Å³/atom
# - N(E_F): 2.043 states/eV/atom
data_Ce3InC
_symmetry_space_group_name_H-M 'P 1'
_symmetry_Int_Tables_number 1
_cell_length_a 4.991
_cell_length_b 4.991
_cell_length_c 4.991
_cell_angle_alpha 90.00
_cell_angle_beta 90.00
_cell_angle_gamma 90.00
loop_
_symmetry_equiv_pos_as_xyz
'x,y,z'
loop_
_atom_site_label
_atom_site_type_symbol
_atom_site_fract_x
_atom_site_fract_y
_atom_site_fract_z
Ce1 Ce 0.000 0.000 0.500
Ce2 Ce 0.000 0.500 0.000
Ce3 Ce 0.500 0.000 0.000
In1 In 0.500 0.500 0.500
C1 C 0.000 0.000 0.000


# PrDyYEr (PBE, optimized geometry)
# - Spin magnetization: 0.00 μB/f.u.
# - Mass density: 7.0 g/cm³
# - Volume: 32.99 Å³/atom
# - N(E_F): 1.799 states/eV/atom
# - Offset from the most stable computed form: 0 meV per atom
data_PrDyYEr
_symmetry_space_group_name_H-M 'P 1'
_symmetry_Int_Tables_number 1
_cell_length_a 8.081
_cell_length_b 8.081
_cell_length_c 8.081
_cell_angle_alpha 90.00
_cell_angle_beta 90.00
_cell_angle_gamma 90.00
loop_
_symmetry_equiv_pos_as_xyz
'x,y,z'
loop_
_atom_site_label
_atom_site_type_symbol
_atom_site_fract_x
_atom_site_fract_y
_atom_site_fract_z
Pr1 Pr 0.000 0.000 0.000
Pr2 Pr 0.000 0.500 0.500
Pr3 Pr 0.500 0.000 0.500
Pr4 Pr 0.500 0.500 0.000
Dy1 Dy 0.000 0.000 0.500
Dy2 Dy 0.000 0.500 0.000
Dy3 Dy 0.500 0.000 0.000
Dy4 Dy 0.500 0.500 0.500
Y1 Y 0.250 0.250 0.750
Y2 Y 0.250 0.750 0.250
Y3 Y 0.750 0.250 0.250
Y4 Y 0.750 0.750 0.750
Er1 Er 0.250 0.250 0.250
Er2 Er 0.250 0.750 0.750
Er3 Er 0.750 0.250 0.750
Er4 Er 0.750 0.750 0.250


# Ta2BeNi (PBE, optimized geometry)
# - E: -8.33 eV per atom
# - Spin magnetization: 0.00 μB/f.u.
# - Mass density: 12.6 g/cm³
# - Volume: 14.13 Å³/atom
# - N(E_F): 0.872 states/eV/atom
data_Ta2BeNi
_symmetry_space_group_name_H-M 'P 1'
_symmetry_Int_Tables_number 1
_cell_length_a 3.875
_cell_length_b 4.005
_cell_length_c 7.284
_cell_angle_alpha 90.00
_cell_angle_beta 90.00
_cell_angle_gamma 90.00
loop_
_symmetry_equiv_pos_as_xyz
'x,y,z'
loop_
_atom_site_label
_atom_site_type_symbol
_atom_site_fract_x
_atom_site_fract_y
_atom_site_fract_z
Ta1 Ta 0.000 0.000 0.249
Ta2 Ta 0.000 0.000 0.751
Ta3 Ta 0.500 0.500 0.251
Ta4 Ta 0.500 0.500 0.749
Be1 Be 0.000 0.500 0.000
Be2 Be 0.500 0.000 0.500
Ni1 Ni 0.000 0.500 0.500
Ni2 Ni 0.500 0.000 0.000


# ZnSb2Pt (PBE, optimized geometry)
# - Formation energy without anion corrections: -0.153 eV/atom
# - Spin magnetization: 0.00 μB/f.u.
# - Mass density: 9.2 g/cm³
# - Volume: 22.72 Å³/atom
# - N(E_F): 0.355 states/eV/atom
data_ZnSb2Pt
_symmetry_space_group_name_H-M 'P 1'
_symmetry_Int_Tables_number 1
_cell_length_a 8.070
_cell_length_b 3.762
_cell_length_c 6.364
_cell_angle_alpha 90.00
_cell_angle_beta 109.80
_cell_angle_gamma 90.00
loop_
_symmetry_equiv_pos_as_xyz
'x,y,z'
loop_
_atom_site_label
_atom_site_type_symbol
_atom_site_fract_x
_atom_site_fract_y
_atom_site_fract_z
Zn1 Zn 0.000 0.000 0.000
Zn2 Zn 0.500 0.500 0.000
Sb1 Sb 0.006 0.500 0.630
Sb2 Sb 0.277 0.500 0.219
Sb3 Sb 0.506 0.000 0.630
Sb4 Sb 0.777 0.000 0.219
Pt1 Pt 0.256 0.000 0.851
Pt2 Pt 0.756 0.500 0.851


# AcTm2Lu (PBE, optimized geometry)
# - Spin magnetization: 0.00 μB/f.u.
# - Mass density: 9.1 g/cm³
# - Volume: 33.70 Å³/atom
# - N(E_F): 1.386 states/eV/atom
# - Offset from the most stable computed form: 122 meV per atom
data_AcTm2Lu
_symmetry_space_group_name_H-M 'P 1'
_symmetry_Int_Tables_number 1
_cell_length_a 3.530
_cell_length_b 3.530
_cell_length_c 37.467
_cell_angle_alpha 90.00
_cell_angle_beta 90.00
_cell_angle_gamma 120.00
loop_
_symmetry_equiv_pos_as_xyz
'x,y,z'
loop_
_atom_site_label
_atom_site_type_symbol
_atom_site_fract_x
_atom_site_fract_y
_atom_site_fract_z
Ac1 Ac 0.000 0.000 0.000
Ac2 Ac 0.333 0.667 0.667
Ac3 Ac 0.667 0.333 0.333
Tm1 Tm 0.000 0.000 0.093
Tm2 Tm 0.000 0.000 0.907
Tm3 Tm 0.333 0.667 0.573
Tm4 Tm 0.333 0.667 0.760
Tm5 Tm 0.667 0.333 0.240
Tm6 Tm 0.667 0.333 0.427
Lu1 Lu 0.000 0.000 0.500
Lu2 Lu 0.333 0.667 0.167
Lu3 Lu 0.667 0.333 0.833


# Pm3Ho4Mg4 (PBE, optimized geometry)
# - E: -3.44 eV per atom
# - Spin magnetization: 0.00 μB/f.u.
# - Mass density: 5.9 g/cm³
# - Volume: 30.37 Å³/atom
# - N(E_F): 1.035 states/eV/atom
data_Pm3Ho4Mg4
_symmetry_space_group_name_H-M 'P 1'
_symmetry_Int_Tables_number 1
_cell_length_a 9.788
_cell_length_b 9.788
_cell_length_c 9.788
_cell_angle_alpha 147.52
_cell_angle_beta 138.12
_cell_angle_gamma 53.98
loop_
_symmetry_equiv_pos_as_xyz
'x,y,z'
loop_
_atom_site_label
_atom_site_type_symbol
_atom_site_fract_x
_atom_site_fract_y
_atom_site_fract_z
Pm1 Pm 0.000 0.000 0.000
Pm2 Pm 0.390 0.890 0.500
Pm3 Pm 0.610 0.110 0.500
Ho1 Ho 0.052 0.314 0.738
Ho2 Ho 0.424 0.686 0.738
Ho3 Ho 0.576 0.314 0.262
Ho4 Ho 0.948 0.686 0.262
Mg1 Mg 0.172 0.172 0.000
Mg2 Mg 0.284 0.500 0.784
Mg3 Mg 0.716 0.500 0.216
Mg4 Mg 0.828 0.828 0.000


Question: Look up the N(E_F) of the sixth one.
Answer: 0.355 states/eV/atom


Question: The highest volume belongs to which entry?
Answer: AcTm2Lu


Question: Look up the mass density of the sixth one.
Answer: 9.2 g/cm³